# As2PPt | Alexandria via LeMat-Bulk | PBE | optimized geometry
data_As2PPt
_chemical_formula_sum 'As2 P1 Pt1'
_cell_length_a 4.552
_cell_length_b 3.877
_cell_length_c 3.877
_cell_angle_alpha 90.00
_cell_angle_beta 90.00
_cell_angle_gamma 90.00
_symmetry_space_group_name_H-M 'P 1'
_symmetry_Int_Tables_number 1
loop_
_symmetry_equiv_pos_as_xyz
'x,y,z'
loop_
_atom_site_label
_atom_site_type_symbol
_atom_site_fract_x
_atom_site_fract_y
_atom_site_fract_z
As1 As 0.000 0.000 0.000
As2 As 0.000 0.500 0.500
P1 P 0.500 0.500 0.000
Pt1 Pt 0.500 0.000 0.500
# * ΔH_f (0 K): 0.406 eV/atom
# * total moment: 0.0000 μB/atom

***

# Zr2BePd6 | Alexandria via LeMat-Bulk | PBE | optimized geometry
data_Zr2BePd6
_chemical_formula_sum 'Zr2 Be1 Pd6'
_cell_length_a 3.558
_cell_length_b 6.998
_cell_length_c 7.447
_cell_angle_alpha 118.03
_cell_angle_beta 103.75
_cell_angle_gamma 90.00
_symmetry_space_group_name_H-M 'P 1'
_symmetry_Int_Tables_number 1
loop_
_symmetry_equiv_pos_as_xyz
'x,y,z'
loop_
_atom_site_label
_atom_site_type_symbol
_atom_site_fract_x
_atom_site_fract_y
_atom_site_fract_z
Zr1 Zr 0.643 0.645 0.290
Zr2 Zr 0.357 0.355 0.710
Be1 Be 0.000 0.000 0.000
Pd1 Pd 0.164 0.367 0.330
Pd2 Pd 0.836 0.037 0.670
Pd3 Pd 0.836 0.633 0.670
Pd4 Pd 0.500 0.207 0.000
Pd5 Pd 0.164 0.963 0.330
Pd6 Pd 0.500 0.793 0.000
# * ΔH_f (0 K): -0.445 eV/atom
# * total moment: 0.0000 μB/atom